Record 1
Material: DyLuMo2C3
Method: DFT, GGA-PBE
State: relaxed

Results
Its total energy is -8.70 eV per atom. As for the volume: 203.5 Å³/cell.

The structure in POSCAR format:
```
DyLuMo2C3
1.0
11.2812 0.0000 0.0000
0.0000 3.3628 0.0000
-1.7840 0.0000 5.3650
Dy Lu Mo C
2 2 4 6
Direct
0.0000 0.0000 0.0000 Dy
0.5000 0.5000 0.0000 Dy
0.2292 0.0000 0.6387 Lu
0.7292 0.5000 0.6387 Lu
0.2632 0.5000 0.1917 Mo
0.4650 0.0000 0.4500 Mo
0.7632 0.0000 0.1917 Mo
0.9650 0.5000 0.4500 Mo
0.1153 0.5000 0.3267 C
0.3422 0.0000 0.0737 C
0.3820 0.5000 0.5639 C
0.6153 0.0000 0.3267 C
0.8422 0.5000 0.0737 C
0.8820 0.0000 0.5639 C
```

***

Record 2
Material: RbPrNiSe3
Method: DFT, GGA-PBE
State: relaxed

Results
Its total energy is -4.77 eV per atom. As for the volume: 360.0 Å³/cell.

The structure in POSCAR format:
```
RbPrNiSe3
1.0
2.1083 -7.5726 0.0000
2.1083 7.5726 0.0000
0.0000 0.0000 11.2739
Rb Pr Ni Se
2 2 2 6
Direct
0.2422 0.7578 0.7500 Rb
0.7578 0.2422 0.2500 Rb
0.5000 0.5000 0.0000 Pr
0.5000 0.5000 0.5000 Pr
0.0314 0.9686 0.2500 Ni
0.9686 0.0314 0.7500 Ni
0.1247 0.8753 0.0781 Se
0.1247 0.8753 0.4219 Se
0.4437 0.5563 0.2500 Se
0.5563 0.4437 0.7500 Se
0.8753 0.1247 0.5781 Se
0.8753 0.1247 0.9219 Se
```

***

Record 3
Material: Tb3Mg3IrAu2
Method: DFT, GGA-PBE
State: relaxed

Results
Its total energy is -4.44 eV per atom. As for the volume: 200.7 Å³/cell.

The structure in POSCAR format:
```
Tb3Mg3IrAu2
1.0
7.4012 0.0000 0.0000
-3.7006 6.4096 0.0000
0.0000 0.0000 4.2300
Tb Mg Ir Au
3 3 1 2
Direct
0.0000 0.6016 0.0000 Tb
0.3984 0.3984 0.0000 Tb
0.6016 0.0000 0.0000 Tb
0.0000 0.2381 0.5000 Mg
0.2381 0.0000 0.5000 Mg
0.7619 0.7619 0.5000 Mg
0.0000 0.0000 0.0000 Ir
0.3333 0.6667 0.5000 Au
0.6667 0.3333 0.5000 Au
```

***

Record 4
Material: Na4Ag2SbP
Method: DFT, GGA-PBE
State: relaxed

Results
Its total energy is -2.90 eV per atom. As for the volume: 386.8 Å³/cell.

The structure in POSCAR format:
```
Na4Ag2SbP
1.0
5.7032 0.0000 0.0000
0.0000 8.9899 0.0000
0.0000 0.0000 7.5445
Na Ag Sb P
8 4 2 2
Direct
0.0000 0.1720 0.0000 Na
0.0000 0.3280 0.5000 Na
0.0000 0.6720 0.5000 Na
0.0000 0.8280 0.0000 Na
0.5000 0.1823 0.7056 Na
0.5000 0.3177 0.2056 Na
0.5000 0.6823 0.2056 Na
0.5000 0.8177 0.7056 Na
0.2522 0.0000 0.3275 Ag
0.2522 0.5000 0.8275 Ag
0.7478 0.0000 0.3275 Ag
0.7478 0.5000 0.8275 Ag
0.0000 0.0000 0.6334 Sb
0.0000 0.5000 0.1334 Sb
0.5000 0.0000 0.0602 P
0.5000 0.5000 0.5602 P
```

***

Record 5
Material: ErTcIr
Method: DFT, GGA-PBE
State: relaxed

Results
Its total energy is -7.06 eV per atom. For the energy of formation from the pure elements, the calculation gives 252 kJ/mol of formula units. As for the volume: 254.6 Å³/cell.

The structure in POSCAR format:
```
ErTcIr
1.0
6.3378 0.0000 0.0000
0.0000 6.3378 0.0000
0.0000 0.0000 6.3378
Er Tc Ir
4 4 4
Direct
0.0000 0.0000 0.0000 Er
0.0000 0.5000 0.5000 Er
0.5000 0.0000 0.5000 Er
0.5000 0.5000 0.0000 Er
0.2500 0.2500 0.2500 Tc
0.2500 0.7500 0.7500 Tc
0.7500 0.2500 0.7500 Tc
0.7500 0.7500 0.2500 Tc
0.2500 0.2500 0.7500 Ir
0.2500 0.7500 0.2500 Ir
0.7500 0.2500 0.2500 Ir
0.7500 0.7500 0.7500 Ir
```

***

Record 6
Material: YHg2Ir
Method: DFT, GGA-PBE
State: relaxed

Results
Its total energy is -4.13 eV per atom. For the energy of formation from the pure elements, the calculation gives -59 kJ/mol of formula units. As for the volume: 333.9 Å³/cell.

The structure in POSCAR format:
```
YHg2Ir
1.0
6.9375 0.0000 0.0000
0.0000 6.9375 0.0000
0.0000 0.0000 6.9375
Y Hg Ir
4 8 4
Direct
0.0000 0.0000 0.0000 Y
0.0000 0.5000 0.5000 Y
0.5000 0.0000 0.5000 Y
0.5000 0.5000 0.0000 Y
0.0000 0.0000 0.5000 Hg
0.0000 0.5000 0.0000 Hg
0.2500 0.2500 0.7500 Hg
0.2500 0.7500 0.2500 Hg
0.5000 0.0000 0.0000 Hg
0.5000 0.5000 0.5000 Hg
0.7500 0.2500 0.2500 Hg
0.7500 0.7500 0.7500 Hg
0.2500 0.2500 0.2500 Ir
0.2500 0.7500 0.7500 Ir
0.7500 0.2500 0.7500 Ir
0.7500 0.7500 0.2500 Ir
```